A plane-wave DFT calculation with PBE was carried out for a relaxed HoAgGe2 crystal.

Geometry as POSCAR:
```
HoAgGe2
1.0
2.180 1.258 5.007
-2.180 1.258 5.007
0.000 -2.517 5.007
Ho Ag Ge
1 1 2
Direct
0.000 0.000 0.000 Ho
0.500 0.500 0.500 Ag
0.233 0.233 0.233 Ge
0.767 0.767 0.767 Ge
```

The calculation puts the magnetization at 0.00 μB per cell. The value obtained for the formation energy from the elements is -1.17 eV/f.u.

---

A plane-wave DFT calculation with PBE was carried out for a relaxed Cs2KMgCl crystal.

Geometry as POSCAR:
```
Cs2KMgCl
1.0
6.832 0.000 0.000
0.000 6.832 0.000
0.000 0.000 6.214
Cs K Mg Cl
2 1 1 1
Direct
0.000 0.500 0.000 Cs
0.500 0.000 0.000 Cs
0.000 0.000 0.500 K
0.500 0.500 0.500 Mg
0.000 0.000 0.000 Cl
```

The calculation puts the magnetization at 0.00 μB per cell. The uncorrected formation energy comes out at -3.0 eV per formula unit.

---

A plane-wave DFT calculation with PBE was carried out for a relaxed Pm5Ho12Tm crystal.

Geometry as POSCAR:
```
Pm5Ho12Tm
1.0
9.236 -5.329 0.000
9.236 5.329 0.000
-2.035 0.000 5.809
Pm Ho Tm
5 12 1
Direct
0.000 0.000 0.000 Pm
0.167 0.167 0.501 Pm
0.334 0.334 0.002 Pm
0.666 0.666 0.998 Pm
0.833 0.833 0.499 Pm
0.001 0.665 0.999 Ho
0.167 0.501 0.501 Ho
0.169 0.831 0.500 Ho
0.334 0.666 0.000 Ho
0.335 0.999 0.001 Ho
0.499 0.833 0.499 Ho
0.501 0.167 0.501 Ho
0.665 0.001 0.999 Ho
0.666 0.334 0.000 Ho
0.831 0.169 0.500 Ho
0.833 0.499 0.499 Ho
0.999 0.335 0.001 Ho
0.500 0.500 0.500 Tm
```

The calculation puts the magnetization at 0.00 μB per cell. The value obtained for the formation energy from the elements is 0.34 eV/f.u.

---

A plane-wave DFT calculation with PBE was carried out for a relaxed Ta2Co6W crystal.

Geometry as POSCAR:
```
Ta2Co6W
1.0
5.034 0.000 0.000
-2.517 4.360 0.000
0.000 0.000 5.331
Ta Co W
2 6 1
Direct
0.333 0.667 0.351 Ta
0.667 0.333 0.649 Ta
0.179 0.358 0.829 Co
0.179 0.821 0.829 Co
0.358 0.179 0.171 Co
0.642 0.821 0.829 Co
0.821 0.179 0.171 Co
0.821 0.642 0.171 Co
0.000 0.000 0.500 W
```

The calculation puts the magnetization at 1.20 μB per cell. The value obtained for the formation energy from the elements is -0.21 eV/f.u.

---

A plane-wave DFT calculation with PBE was carried out for a relaxed Na3DyCl6 crystal.

Geometry as POSCAR:
```
Na3DyCl6
1.0
0.000 5.310 5.310
5.310 0.000 5.310
5.310 5.310 0.000
Na Dy Cl
3 1 6
Direct
0.000 0.000 0.000 Na
0.250 0.250 0.250 Na
0.750 0.750 0.750 Na
0.500 0.500 0.500 Dy
0.254 0.254 0.746 Cl
0.254 0.746 0.254 Cl
0.254 0.746 0.746 Cl
0.746 0.254 0.254 Cl
0.746 0.254 0.746 Cl
0.746 0.746 0.254 Cl
```

The calculation puts the magnetization at 0.00 μB per cell. The uncorrected formation energy comes out at -18.6 eV per formula unit.

---

A plane-wave DFT calculation with PBE was carried out for a relaxed FeTcPS2 crystal.

Geometry as POSCAR:
```
FeTcPS2
1.0
4.301 0.000 0.000
0.000 4.301 0.000
0.000 0.000 4.243
Fe Tc P S
1 1 1 2
Direct
0.000 0.000 0.000 Fe
0.500 0.500 0.500 Tc
0.000 0.000 0.500 P
0.000 0.500 0.000 S
0.500 0.000 0.000 S
```

The calculation puts the magnetization at 0.00 μB per cell. The uncorrected formation energy comes out at 4.2 eV per formula unit.

---

A plane-wave DFT calculation with PBE was carried out for a relaxed Tl2InTe4Au crystal.

Geometry as POSCAR:
```
Tl2InTe4Au
1.0
-4.122 4.122 3.810
4.122 -4.122 3.810
4.122 4.122 -3.810
Tl In Te Au
2 1 4 1
Direct
0.000 0.500 0.500 Tl
0.500 0.000 0.500 Tl
0.000 0.000 0.000 In
0.080 0.432 0.000 Te
0.432 0.080 0.000 Te
0.568 0.568 0.648 Te
0.920 0.920 0.352 Te
0.500 0.500 0.000 Au
```

The calculation puts the magnetization at 0.00 μB per cell. The uncorrected formation energy comes out at -1.1 eV per formula unit.

---

A plane-wave DFT calculation with PBE was carried out for a relaxed Hf6Sn3H crystal.

Geometry as POSCAR:
```
Hf6Sn3H
1.0
5.137 -2.923 0.000
5.137 2.923 0.000
-1.994 0.000 6.947
Hf Sn H
6 3 1
Direct
0.145 0.648 0.629 Hf
0.159 0.159 0.849 Hf
0.352 0.855 0.371 Hf
0.648 0.145 0.629 Hf
0.841 0.841 0.151 Hf
0.855 0.352 0.371 Hf
0.322 0.322 0.257 Sn
0.500 0.500 0.000 Sn
0.678 0.678 0.743 Sn
0.000 0.000 0.500 H
```

The calculation puts the magnetization at 0.00 μB per cell. Its total energy is -7.590 eV per atom.

---

A plane-wave DFT calculation with PBE was carried out for a relaxed LiGa5Cu3 crystal.

Geometry as POSCAR:
```
LiGa5Cu3
1.0
4.747 -4.473 0.000
4.747 4.473 0.000
-2.567 0.000 7.360
Li Ga Cu
2 10 6
Direct
0.247 0.247 0.260 Li
0.753 0.753 0.740 Li
0.172 0.651 0.606 Ga
0.234 0.234 0.589 Ga
0.247 0.247 0.935 Ga
0.262 0.738 0.000 Ga
0.349 0.828 0.394 Ga
0.651 0.172 0.606 Ga
0.738 0.262 0.000 Ga
0.753 0.753 0.065 Ga
0.766 0.766 0.411 Ga
0.828 0.349 0.394 Ga
0.000 0.000 0.000 Cu
0.004 0.004 0.675 Cu
0.500 0.500 0.171 Cu
0.500 0.500 0.500 Cu
0.500 0.500 0.829 Cu
0.996 0.996 0.325 Cu
```

The calculation puts the magnetization at 0.00 μB per cell. The value obtained for the formation energy from the elements is 0.00 eV/f.u.

---

A plane-wave DFT calculation with PBE was carried out for a relaxed Cs2NaTc crystal.

Geometry as POSCAR:
```
Cs2NaTc
1.0
-7.147 7.147 2.934
7.147 -7.147 2.934
7.147 7.147 -2.934
Cs Na Tc
4 2 2
Direct
0.000 0.000 0.000 Cs
0.000 0.000 0.500 Cs
0.000 0.500 0.000 Cs
0.500 0.000 0.500 Cs
0.375 0.625 0.750 Na
0.625 0.375 0.250 Na
0.125 0.875 0.250 Tc
0.875 0.125 0.750 Tc
```

The calculation puts the magnetization at 6.25 μB per cell. The value obtained for the formation energy from the elements is 5.07 eV/f.u.

---

What is the magnetization in the eighth record? 0.00 μB per cell